8
Lattice="-2.295 2.295 4.855 2.295 -2.295 4.855 2.295 2.295 -4.855" Properties=species:S:1:pos:R:3 comment="HfMnC2 | Alexandria | PBE | relaxed" total_energy_ev_per_atom=-9.2190 pbc="T T T"
Hf 0.000 0.000 0.000
Hf 0.000 2.295 2.428
Mn 2.295 0.000 2.428
Mn 0.000 0.000 4.855
C 1.147 -0.884 3.641
C 1.411 1.147 1.214
C 1.147 3.178 -1.214
C 0.884 1.147 6.069


4
Lattice="0.000 2.702 2.702 2.702 0.000 2.702 2.702 2.702 0.000" Properties=species:S:1:pos:R:3 comment="HfMnC2 | Alexandria | PBE | relaxed" total_energy_ev_per_atom=-8.9065 pbc="T T T"
Hf 0.000 0.000 0.000
Mn 2.702 2.702 2.702
C 1.351 1.351 1.351
C 4.053 4.053 4.053


8
Lattice="-3.291 3.291 2.332 3.291 -3.291 2.332 3.291 3.291 -2.332" Properties=species:S:1:pos:R:3 comment="HfMn2C | Alexandria | PBE | relaxed" total_energy_ev_per_atom=-9.3556 pbc="T T T"
Hf 0.000 0.000 0.000
Hf 0.000 3.291 1.166
Mn 1.645 -0.867 1.749
Mn 2.424 1.645 0.583
Mn 1.645 4.157 -0.583
Mn 0.867 1.645 2.914
C 3.291 0.000 1.166
C 0.000 0.000 2.332


5
Lattice="4.416 0.000 0.000 0.000 4.416 0.000 0.000 0.000 4.416" Properties=species:S:1:pos:R:3 comment="Hf3MnC | Alexandria | PBE | relaxed" e_above_lowest_polymorph_ev_per_atom=0.000 total_energy_ev_per_atom=-9.7266 pbc="T T T"
Hf 0.000 0.000 2.208
Hf 0.000 2.208 0.000
Hf 2.208 0.000 0.000
Mn 2.208 2.208 2.208
C 0.000 0.000 0.000


29
Lattice="0.000 5.239 5.239 5.239 0.000 5.239 5.239 5.239 0.000" Properties=species:S:1:pos:R:3 comment="HfMn22C6 | Alexandria | PBE | relaxed" total_energy_ev_per_atom=-9.2462 pbc="T T T"
Hf 0.000 0.000 0.000
Mn 1.833 1.833 0.000
Mn 3.406 3.406 0.000
Mn 1.833 0.000 1.833
Mn 5.239 3.406 1.833
Mn 3.406 0.000 3.406
Mn 5.239 1.833 3.406
Mn 6.467 4.011 4.011
Mn 2.619 2.619 2.619
Mn 0.000 1.833 1.833
Mn 3.406 5.239 1.833
Mn 3.406 1.833 5.239
Mn 4.011 4.011 4.011
Mn 6.467 6.467 4.011
Mn 6.467 4.011 6.467
Mn 4.011 6.467 4.011
Mn 4.011 4.011 6.467
Mn 6.467 6.467 6.467
Mn 0.000 3.406 3.406
Mn 1.833 5.239 3.406
Mn 1.833 3.406 5.239
Mn 7.858 7.858 7.858
Mn 4.011 6.467 6.467
C 5.239 5.239 2.833
C 5.239 2.833 5.239
C 7.645 5.239 5.239
C 2.833 5.239 5.239
C 5.239 7.645 5.239
C 5.239 5.239 7.645


5
Lattice="3.893 0.000 0.000 0.000 3.893 0.000 0.000 0.000 3.893" Properties=species:S:1:pos:R:3 comment="HfMn3C | Alexandria | PBE | relaxed" e_above_lowest_polymorph_ev_per_atom=0.000 total_energy_ev_per_atom=-9.5271 pbc="T T T"
Hf 0.000 0.000 0.000
Mn 0.000 1.946 1.946
Mn 1.946 0.000 1.946
Mn 1.946 1.946 0.000
C 1.946 1.946 1.946


| no. | size of the total moment (μB/cell) | calculated formation energy (eV per formula unit) |
| --- | --- | --- |
| 1 | 2.9 | 0.7 |
| 2 | 0.0 | 1.9 |
| 3 | 4.0 | 0.1 |
| 4 | 0.0 | -0.4 |
| 5 | 9.7 | -1.1 |
| 6 | 2.9 | -0.9 |